A plane-wave DFT calculation with PBE-GGA was carried out for AlSi2Rh after structural relaxation.

Calculated values
Calculated total energy ... -5.5682 eV per atom
Magnetization ... 0.0 μB per formula unit
E_form (uncorrected) ... -83 meV per atom
Crystal system ... cubic

a = 4.320 Å, b = 4.320 Å, c = 4.320 Å
α = 60.00°, β = 60.00°, γ = 60.00°
Fractional coordinates of all 4 atoms:
1 Si 0.250 0.250 0.250
2 Si 0.000 0.000 0.000
3 Al 0.500 0.500 0.500
4 Rh 0.750 0.750 0.750

---

A plane-wave DFT calculation with PBE-GGA was carried out for AlSi2Rh after structural relaxation.

Calculated values
Calculated total energy ... -5.7985 eV per atom
Magnetization ... 0.0 μB per formula unit
E_form (uncorrected) ... -313 meV per atom
Crystal system ... monoclinic

a = 3.953 Å, b = 3.498 Å, c = 4.708 Å
α = 68.31°, β = 90.00°, γ = 90.00°
Fractional coordinates of all 4 atoms:
1 Si 0.500 0.239 0.148
2 Rh 0.500 0.950 0.723
3 Si 0.000 0.793 0.041
4 Al 0.000 0.518 0.588

---

A plane-wave DFT calculation with PBE-GGA was carried out for AlSi2Rh after structural relaxation.

Calculated values
Calculated total energy ... -5.7212 eV per atom
Magnetization ... 0.0 μB per formula unit
E_form (uncorrected) ... -236 meV per atom
Crystal system ... tetragonal

a = 2.851 Å, b = 2.851 Å, c = 7.011 Å
α = 90.00°, β = 90.00°, γ = 89.99°
Fractional coordinates of all 4 atoms:
1 Si 0.000 0.000 0.521
2 Al 0.500 0.500 0.250
3 Rh 0.500 0.500 0.750
4 Si 0.000 0.000 0.979

---

A plane-wave DFT calculation with PBE-GGA was carried out for Al2SiRh after structural relaxation.

Calculated values
Calculated total energy ... -5.4306 eV per atom
Magnetization ... 0.0 μB per formula unit
E_form (uncorrected) ... -366 meV per atom
Crystal system ... tetragonal

a = 2.840 Å, b = 2.840 Å, c = 7.380 Å
α = 90.00°, β = 90.00°, γ = 89.99°
Fractional coordinates of all 4 atoms:
1 Al 0.500 0.500 0.278
2 Si 0.500 0.500 0.719
3 Rh 0.000 0.000 0.515
4 Al 0.000 0.000 0.989

---

A plane-wave DFT calculation with PBE-GGA was carried out for AlSiRh3 after structural relaxation.

Calculated values
Energy relative to the lowest polymorph listed for this composition ... 63.1 kJ per mole of atoms
Calculated total energy ... -5.6760 eV per atom
Magnetization ... 0.0 μB per formula unit
E_form (uncorrected) ... 568 meV per atom
Crystal system ... cubic

a = 4.399 Å, b = 4.399 Å, c = 4.399 Å
α = 90.00°, β = 90.00°, γ = 90.00°
Fractional coordinates of all 5 atoms:
1 Si 0.500 0.500 0.500
2 Rh 0.000 0.500 0.000
3 Rh 0.500 0.000 0.000
4 Al 0.000 0.000 0.000
5 Rh 0.000 0.000 0.500

---

A plane-wave DFT calculation with PBE-GGA was carried out for Al5SiRh6 after structural relaxation.

Calculated values
Calculated total energy ... -6.6965 eV per atom
Magnetization ... 0.0 μB per formula unit
E_form (uncorrected) ... -1009 meV per atom
Crystal system ... orthorhombic

a = 4.265 Å, b = 7.350 Å, c = 7.350 Å
α = 120.42°, β = 106.85°, γ = 106.85°
Fractional coordinates of all 12 atoms:
1 Rh 0.246 0.083 0.409
2 Al 0.500 0.500 0.500
3 Al 0.000 0.666 0.334
4 Al 0.000 0.334 0.666
5 Si 0.000 0.000 0.000
6 Al 0.500 0.171 0.829
7 Al 0.500 0.829 0.171
8 Rh 0.754 0.591 0.917
9 Rh 0.742 0.243 0.243
10 Rh 0.754 0.917 0.591
11 Rh 0.246 0.409 0.083
12 Rh 0.258 0.757 0.757